Entry 1:
A plane-wave DFT calculation with PBE was carried out for an optimized crystal structure of Zn2ReF.

SG: I-42d (122)
Energy relative to the elements, uncorrected, eV per atom: 0.21

Cell: 6.599 6.599 5.320 Å, 51.67 51.67 90.00°
Element x y z (fractional)
Re (0.000, 0.000, 0.000)
Re (0.750, 0.250, 0.500)
Zn (0.580, 0.125, 0.250)
Zn (0.170, 0.625, 0.250)
Zn (0.375, 0.420, 0.750)
Zn (0.875, 0.830, 0.750)
F (0.500, 0.500, 0.000)
F (0.250, 0.750, 0.500)


Entry 2:
A plane-wave DFT calculation with PBE was carried out for an optimized crystal structure of Sm2AgHg2.

SG: C2/c (15)
ΔH_f (0 K), eV/atom: -0.344

Cell: 5.400 10.641 14.162 Å, 19.19 79.01 75.30°
Element x y z (fractional)
Sm (0.353, 0.841, 0.954)
Sm (0.852, 0.341, 0.454)
Sm (0.647, 0.159, 0.046)
Sm (0.148, 0.659, 0.546)
Ag (0.249, 0.750, 0.250)
Ag (0.751, 0.250, 0.750)
Hg (0.451, 0.943, 0.654)
Hg (0.048, 0.557, 0.846)
Hg (0.549, 0.057, 0.346)
Hg (0.952, 0.443, 0.154)


no.,raw total energy (Ha/atom)
1,-0.1473
2,-0.1074